Record 1
AlCd after structural relaxation, computed with PBE.

POSCAR file:
```
AlCd
1.0
4.329 0.000 0.000
-2.165 3.749 0.000
0.000 0.000 5.619
Al Cd
2 2
direct
0.333 0.667 0.250 Al
0.667 0.333 0.750 Al
0.000 0.000 0.000 Cd
0.000 0.000 0.500 Cd
```

DFT total energy, eV per atom: -2.023
DOS at the Fermi energy, states/eV/f.u.: 0.82
ΔH_f (0 K), meV/atom: 306
Space group: P6_3/mmc

***

Record 2
AlCd after structural relaxation, computed with PBE.

POSCAR file:
```
AlCd
1.0
-1.428 2.524 5.894
1.428 -2.524 5.894
1.428 2.524 -5.894
Al Cd
2 2
direct
0.399 0.149 0.250 Al
0.601 0.851 0.750 Al
0.154 0.404 0.750 Cd
0.846 0.596 0.250 Cd
```

DFT total energy, eV per atom: -2.170
DOS at the Fermi energy, states/eV/f.u.: 0.78
ΔH_f (0 K), meV/atom: 159
Space group: Imma

***

Record 3
Al3Cd4 after structural relaxation, computed with PBE.

POSCAR file:
```
Al3Cd4
1.0
-1.945 1.945 9.751
1.945 -1.945 9.751
1.945 1.945 -9.751
Al Cd
3 4
direct
0.000 0.000 0.000 Al
0.283 0.283 0.000 Al
0.717 0.717 0.000 Al
0.144 0.144 0.000 Cd
0.427 0.427 0.000 Cd
0.573 0.573 0.000 Cd
0.856 0.856 0.000 Cd
```

DFT total energy, eV per atom: -1.952
DOS at the Fermi energy, states/eV/f.u.: 3.25
ΔH_f (0 K), meV/atom: 174
ΔE to the lowest computed polymorph, meV per atom: 14
Space group: I4/mmm

***

Record 4
Al5Cd4 after structural relaxation, computed with PBE.

POSCAR file:
```
Al5Cd4
1.0
8.935 0.000 0.000
-4.467 7.738 0.000
0.000 0.000 5.433
Al Cd
10 8
direct
0.000 0.399 0.250 Al
0.000 0.601 0.750 Al
0.333 0.667 0.000 Al
0.333 0.667 0.500 Al
0.399 0.000 0.250 Al
0.399 0.399 0.750 Al
0.601 0.000 0.750 Al
0.601 0.601 0.250 Al
0.667 0.333 0.000 Al
0.667 0.333 0.500 Al
0.000 0.000 0.000 Cd
0.000 0.000 0.500 Cd
0.000 0.292 0.750 Cd
0.000 0.708 0.250 Cd
0.292 0.000 0.750 Cd
0.292 0.292 0.250 Cd
0.708 0.000 0.250 Cd
0.708 0.708 0.750 Cd
```

DFT total energy, eV per atom: -2.259
DOS at the Fermi energy, states/eV/f.u.: 4.35
ΔH_f (0 K), meV/atom: 227
ΔE to the lowest computed polymorph, meV per atom: 90
Space group: P6_3/mcm

***

Question: Look up the DFT total energy of the second one.
Answer: -2.170 eV per atom